(1)
# AcNbSb, optimized geometry, DFT PBE-GGA
data_AcNbSb
_cell_length_a 7.237
_cell_length_b 7.237
_cell_length_c 7.237
_cell_angle_alpha 90.00
_cell_angle_beta 90.00
_cell_angle_gamma 90.00
_symmetry_space_group_name_H-M 'F -4 3 m'
_symmetry_Int_Tables_number 216
_symmetry_space_group_name_Hall 'F -4 2 3'
loop_
_atom_site_label
_atom_site_fract_x
_atom_site_fract_y
_atom_site_fract_z
Ac1 0.000 0.000 0.000
Nb1 0.000 0.000 0.500
Sb1 0.250 0.250 0.250
# Total energy (eV for the cell shown): -69.9
# Relative energy among the computed polymorphs (eV per formula unit): 0.000



(2)
# NaNb3N5, optimized geometry, DFT PBE-GGA
data_NaNb3N5
_cell_length_a 5.2641
_cell_length_b 5.2641
_cell_length_c 5.2734
_cell_angle_alpha 90.00
_cell_angle_beta 90.00
_cell_angle_gamma 120.00
_symmetry_space_group_name_H-M 'P 6/m m m'
_symmetry_Int_Tables_number 191
_symmetry_space_group_name_Hall '-P 6 2'
loop_
_atom_site_label
_atom_site_fract_x
_atom_site_fract_y
_atom_site_fract_z
Na1 0.0000 0.0000 0.0000
Nb1 0.0000 0.5000 0.5000
N1 0.0000 0.0000 0.5000
N2 0.3333 0.6667 0.2325
# Total energy (eV for the cell shown): -70.6



Size of the total moment per entry: 2.66; 0.01 Bohr magnetons per cell